An optimized crystal structure of Tb3Al2Zn, computed with PBE-GGA.

The space group is P4/mmm (No. 123) and the conventional cell measures 3.581, 3.581 and 10.973 Å, with angles of 90.00, 90.00 and 90.00 degrees. The distinct sites, in fractional coordinates, are Tb at (0.000, 0.000, 0.000), Tb at (0.000, 0.000, 0.338), Al at (0.500, 0.500, 0.171) and Zn at (0.500, 0.500, 0.500).

For the energy relative to the elements, the calculation gives -222 kJ/mol of formula units. The calculation puts the total magnetic moment at 0.0 Bohr magnetons per cell.


An optimized crystal structure of NiBAs2Br, computed with PBE-GGA.

The space group is P4/mmm (No. 123) and the conventional cell measures 4.330, 4.330 and 4.633 Å, with angles of 90.00, 90.00 and 90.00 degrees. The distinct sites, in fractional coordinates, are Ni at (0.000, 0.000, 0.000), B at (0.500, 0.500, 0.500), As at (0.000, 0.500, 0.500) and Br at (0.500, 0.500, 0.000).

For the offset from the most stable computed form, the calculation gives 0.0000 eV per atom. The calculation puts the total magnetic moment at 0.0 Bohr magnetons per cell. The calculation puts the uncorrected formation energy at 1064 meV/atom.